[1]
A geometry-optimized LiLuTc structure, computed with PBE-GGA.

Lattice parameters (Å, degrees): 6.074 6.074 6.074 90.00 90.00 90.00
Space group F-43m (No. 216)
Symmetry-distinct sites (fractional):
Li: 0.000 0.000 0.000 x4
Lu: 0.250 0.250 0.750 x4
Tc: 0.250 0.250 0.250 x4

Summary:
Distance to the lowest polymorph of the same formula, meV per atom: 0
Uncorrected energy, eV for the cell shown: -58.36

***

[2]
A geometry-optimized LiLuTc2 structure, computed with PBE-GGA.

Lattice parameters (Å, degrees): 6.363 6.363 6.363 90.00 90.00 90.00
Space group F-43m (No. 216)
Symmetry-distinct sites (fractional):
Li: 0.000 0.000 0.000 x4
Lu: 0.250 0.250 0.250 x4
Tc: 0.000 0.000 0.500 x4
Tc: 0.250 0.250 0.750 x4

Summary:
Uncorrected energy, eV for the cell shown: -107.87